# AsP6Os (PBE, relaxed)
# VASP energy	-5.416	eV/atom
# volume	18.0	A^3/atom
# M_tot	0.0	μB per cell
data_AsP6Os
_space_group_name_H-M_alt 'F -4 3 m'
_space_group_IT_number 216
_space_group_name_Hall 'F -4 2 3'
_cell_length_a 8.320
_cell_length_b 8.320
_cell_length_c 8.320
_cell_angle_alpha 90.00
_cell_angle_beta 90.00
_cell_angle_gamma 90.00
loop_
_atom_site_label
_atom_site_type_symbol
_atom_site_fract_x
_atom_site_fract_y
_atom_site_fract_z
As1 As 0.000 0.000 0.000
P1 P 0.034 0.250 0.250
Os1 Os 0.250 0.250 0.750